# 1
# Pm2PrY2Sc

A relaxed structure of Pm2PrY2Sc (PBE-GGA, Alexandria).

DFT total energy, eV per atom: -5.516
Energy of formation from the pure elements, eV per atom: 0.0736

The structure in POSCAR format:
```
Pm2PrY2Sc
1.0
5.643 0.000 0.000
0.000 7.037 0.000
0.000 0.000 9.734
Pm Pr Y Sc
4 2 4 2
direct
0.000 0.258 0.831
0.500 0.258 0.334
0.000 0.758 0.169
0.500 0.758 0.666
0.000 0.008 0.500
0.000 0.508 0.500
0.500 0.008 0.000
0.000 0.258 0.164
0.500 0.508 0.000
0.000 0.758 0.836
0.500 0.258 0.670
0.500 0.758 0.330
```

# 2
# PmPr2YSc

A relaxed structure of PmPr2YSc (PBE-GGA, Alexandria).

DFT total energy, eV per atom: -5.077
Energy of formation from the pure elements, eV per atom: 0.3443

The structure in POSCAR format:
```
PmPr2YSc
1.0
-5.452 -4.741 0.535
4.133 -4.087 5.898
-4.546 5.350 1.079
Pm Pr Y Sc
2 4 2 2
direct
0.250 0.723 0.446
0.750 0.277 0.554
0.500 0.299 0.000
0.000 0.701 0.000
0.500 0.701 0.000
0.000 0.299 0.000
0.750 0.749 0.498
0.250 0.251 0.502
0.250 0.981 0.962
0.750 0.019 0.038
```